Record 1
# Ac8CoNi2 | Alexandria | GGA-PBE | relaxed
# - final energy (eV/atom) = -4.787
# - formation energy (eV per atom) = -0.10
# - total magnetization (μB/atom) = 0.000
data_Ac8CoNi2
_cell_length_a 20.049
_cell_length_b 4.063
_cell_length_c 9.608
_cell_angle_alpha 90.00
_cell_angle_beta 93.74
_cell_angle_gamma 90.00
_space_group_name_H-M_alt 'C 1 2/m 1'
_space_group_IT_number 12
_space_group_name_Hall '-C 2y'
loop_
_atom_site_label
_atom_site_type_symbol
_atom_site_fract_x
_atom_site_fract_y
_atom_site_fract_z
Ac1 Ac 0.014 0.000 0.200
Ac2 Ac 0.098 0.500 0.545
Ac3 Ac 0.151 0.500 0.963
Ac4 Ac 0.226 0.000 0.327
Co1 Co 0.000 0.500 0.000
Ni1 Ni 0.166 0.000 0.731

Record 2
# Ac12Co4Ni | Alexandria | GGA-PBE | relaxed
# - final energy (eV/atom) = -4.854
# - formation energy (eV per atom) = 0.06
# - total magnetization (μB/atom) = 0.000
data_Ac12Co4Ni
_cell_length_a 10.845
_cell_length_b 10.896
_cell_length_c 10.896
_cell_angle_alpha 90.00
_cell_angle_beta 90.00
_cell_angle_gamma 90.00
_space_group_name_H-M_alt 'I m m m'
_space_group_IT_number 71
_space_group_name_Hall '-I 2 2'
loop_
_atom_site_label
_atom_site_type_symbol
_atom_site_fract_x
_atom_site_fract_y
_atom_site_fract_z
Ac1 Ac 0.000 0.182 0.201
Ac2 Ac 0.190 0.500 0.183
Ac3 Ac 0.204 0.320 0.500
Co1 Co 0.250 0.250 0.250
Ni1 Ni 0.000 0.000 0.000

Record 3
# Ac4Co3Ni | Alexandria | GGA-PBE | relaxed
# - final energy (eV/atom) = -5.491
# - formation energy (eV per atom) = -0.05
# - total magnetization (μB/atom) = 0.132
data_Ac4Co3Ni
_cell_length_a 4.106
_cell_length_b 4.113
_cell_length_c 12.572
_cell_angle_alpha 90.00
_cell_angle_beta 90.00
_cell_angle_gamma 90.00
_space_group_name_H-M_alt 'P m m 2'
_space_group_IT_number 25
_space_group_name_Hall 'P 2 -2'
loop_
_atom_site_label
_atom_site_type_symbol
_atom_site_fract_x
_atom_site_fract_y
_atom_site_fract_z
Ac1 Ac 0.000 0.000 0.000
Ac2 Ac 0.000 0.500 0.495
Ac3 Ac 0.500 0.000 0.263
Ac4 Ac 0.500 0.500 0.764
Co1 Co 0.000 0.000 0.671
Co2 Co 0.000 0.500 0.183
Co3 Co 0.500 0.000 0.589
Ni1 Ni 0.500 0.500 0.079

Record 4
# Ac12Co5Ni | Alexandria | GGA-PBE | relaxed
# - final energy (eV/atom) = -5.086
# - formation energy (eV per atom) = -0.05
# - total magnetization (μB/atom) = 0.000
data_Ac12Co5Ni
_cell_length_a 7.274
_cell_length_b 12.860
_cell_length_c 13.720
_cell_angle_alpha 90.00
_cell_angle_beta 90.25
_cell_angle_gamma 90.00
_space_group_name_H-M_alt 'C 1 2/m 1'
_space_group_IT_number 12
_space_group_name_Hall '-C 2y'
loop_
_atom_site_label
_atom_site_type_symbol
_atom_site_fract_x
_atom_site_fract_y
_atom_site_fract_z
Ac1 Ac 0.158 0.000 0.113
Ac2 Ac 0.164 0.167 0.388
Ac3 Ac 0.164 0.500 0.388
Ac4 Ac 0.168 0.330 0.113
Co1 Co 0.000 0.000 0.500
Co2 Co 0.000 0.166 0.000
Co3 Co 0.000 0.334 0.500
Ni1 Ni 0.000 0.500 0.000

Record 5
# Ac8Co2Ni3 | Alexandria | GGA-PBE | relaxed
# - final energy (eV/atom) = -4.989
# - formation energy (eV per atom) = -0.03
# - total magnetization (μB/atom) = 0.000
data_Ac8Co2Ni3
_cell_length_a 15.012
_cell_length_b 8.205
_cell_length_c 7.110
_cell_angle_alpha 90.00
_cell_angle_beta 104.02
_cell_angle_gamma 90.00
_space_group_name_H-M_alt 'C 1 2/m 1'
_space_group_IT_number 12
_space_group_name_Hall '-C 2y'
loop_
_atom_site_label
_atom_site_type_symbol
_atom_site_fract_x
_atom_site_fract_y
_atom_site_fract_z
Ac1 Ac 0.104 0.000 0.356
Ac2 Ac 0.124 0.500 0.406
Ac3 Ac 0.126 0.258 0.888
Co1 Co 0.242 0.000 0.166
Ni1 Ni 0.000 0.249 0.500
Ni2 Ni 0.000 0.500 0.000

Record 6
# Ac2Co2Ni | Alexandria | GGA-PBE | relaxed
# - final energy (eV/atom) = -5.673
# - formation energy (eV per atom) = -0.03
# - total magnetization (μB/atom) = 0.299
data_Ac2Co2Ni
_cell_length_a 11.112
_cell_length_b 4.222
_cell_length_c 10.742
_cell_angle_alpha 90.00
_cell_angle_beta 114.84
_cell_angle_gamma 90.00
_space_group_name_H-M_alt 'C 1 2/m 1'
_space_group_IT_number 12
_space_group_name_Hall '-C 2y'
loop_
_atom_site_label
_atom_site_type_symbol
_atom_site_fract_x
_atom_site_fract_y
_atom_site_fract_z
Ac1 Ac 0.101 0.000 0.395
Ac2 Ac 0.206 0.500 0.139
Co1 Co 0.032 0.000 0.915
Co2 Co 0.088 0.500 0.607
Ni1 Ni 0.065 0.500 0.821

Record 7
# Ac6CoNi3 | Alexandria | GGA-PBE | relaxed
# - final energy (eV/atom) = -5.042
# - formation energy (eV per atom) = -0.13
# - total magnetization (μB/atom) = 0.000
data_Ac6CoNi3
_cell_length_a 7.145
_cell_length_b 7.815
_cell_length_c 13.077
_cell_angle_alpha 90.00
_cell_angle_beta 122.70
_cell_angle_gamma 90.00
_space_group_name_H-M_alt 'P 1 21/c 1'
_space_group_IT_number 14
_space_group_name_Hall '-P 2ybc'
loop_
_atom_site_label
_atom_site_type_symbol
_atom_site_fract_x
_atom_site_fract_y
_atom_site_fract_z
Ac1 Ac 0.091 0.057 0.247
Ac2 Ac 0.252 0.684 0.079
Ac3 Ac 0.394 0.178 0.075
Co1 Co 0.000 0.000 0.000
Ni1 Ni 0.305 0.109 0.753
Ni2 Ni 0.500 0.000 0.500

Record 8
# Ac6Co3Ni | Alexandria | GGA-PBE | relaxed
# - final energy (eV/atom) = -5.201
# - formation energy (eV per atom) = -0.03
# - total magnetization (μB/atom) = 0.000
data_Ac6Co3Ni
_cell_length_a 12.152
_cell_length_b 4.185
_cell_length_c 12.950
_cell_angle_alpha 90.00
_cell_angle_beta 113.17
_cell_angle_gamma 90.00
_space_group_name_H-M_alt 'P 1 21/m 1'
_space_group_IT_number 11
_space_group_name_Hall '-P 2yb'
loop_
_atom_site_label
_atom_site_type_symbol
_atom_site_fract_x
_atom_site_fract_y
_atom_site_fract_z
Ac1 Ac 0.053 0.250 0.403
Ac2 Ac 0.094 0.750 0.927
Ac3 Ac 0.244 0.250 0.766
Ac4 Ac 0.244 0.750 0.264
Ac5 Ac 0.406 0.250 0.565
Ac6 Ac 0.434 0.250 0.102
Co1 Co 0.001 0.250 0.767
Co2 Co 0.333 0.750 0.938
Co3 Co 0.410 0.250 0.337
Ni1 Ni 0.199 0.750 0.570

Record 9
# Ac4Co2Ni5 | Alexandria | GGA-PBE | relaxed
# - final energy (eV/atom) = -5.518
# - formation energy (eV per atom) = -0.10
# - total magnetization (μB/atom) = 0.189
data_Ac4Co2Ni5
_cell_length_a 7.030
_cell_length_b 4.193
_cell_length_c 7.982
_cell_angle_alpha 90.00
_cell_angle_beta 92.52
_cell_angle_gamma 90.00
_space_group_name_H-M_alt 'P 1 2/m 1'
_space_group_IT_number 10
_space_group_name_Hall '-P 2y'
loop_
_atom_site_label
_atom_site_type_symbol
_atom_site_fract_x
_atom_site_fract_y
_atom_site_fract_z
Ac1 Ac 0.240 0.000 0.365
Ac2 Ac 0.258 0.000 0.870
Co1 Co 0.427 0.500 0.622
Ni1 Ni 0.000 0.500 0.000
Ni2 Ni 0.088 0.500 0.636
Ni3 Ni 0.392 0.500 0.118

Record 10
# AcCoNi | Alexandria | GGA-PBE | relaxed
# - E above lowest polymorph (eV/f.u.) = 0.31
# - final energy (eV/atom) = -5.668
# - formation energy (eV per atom) = 0.00
# - total magnetization (μB/atom) = 0.394
data_AcCoNi
_cell_length_a 6.167
_cell_length_b 6.049
_cell_length_c 7.378
_cell_angle_alpha 90.00
_cell_angle_beta 118.73
_cell_angle_gamma 90.00
_space_group_name_H-M_alt 'P 1 21/c 1'
_space_group_IT_number 14
_space_group_name_Hall '-P 2ybc'
loop_
_atom_site_label
_atom_site_type_symbol
_atom_site_fract_x
_atom_site_fract_y
_atom_site_fract_z
Ac1 Ac 0.201 0.129 0.383
Co1 Co 0.240 0.638 0.566
Ni1 Ni 0.389 0.588 0.324